#a
## PaCl3O (PBE-GGA)

Data for a geometry-optimized PaCl3O structure.

Lattice parameters (Å, degrees): 7.5010 10.3926 8.5832 90.00 90.00 90.00
Last column: nearest neighbours and their distance in Å.
Space group Imma (No. 74)
Symmetry-distinct sites (fractional):
Pa  0.2500  0.2500  0.2500 [4 per cell]  2 O 2.09
Cl  0.0000  0.2500  0.0156 [4 per cell]  2 Pa 2.75, 1 O 2.94
Cl  0.2500  0.0066  0.2500 [8 per cell]  1 Pa 2.53
O  0.0000  0.2500  0.3582 [4 per cell]  2 Pa 2.09



#b
## PaCl3O (PBE-GGA)

Data for a geometry-optimized PaCl3O structure.

Lattice parameters (Å, degrees): 8.5483 3.8475 7.8620 90.00 90.00 90.00
Last column: nearest neighbours and their distance in Å.
Space group Pmma (No. 51)
Symmetry-distinct sites (fractional):
Pa  0.2500  0.0000  0.1095 [2 per cell]  2 O 2.07
Cl  0.0498  0.0000  0.8000 [4 per cell]  2 Pa 2.66-2.97
Cl  0.2500  0.5000  0.3718 [2 per cell]  2 Pa 2.82, 1 O 2.84
O  0.2500  0.5000  0.0111 [2 per cell]  2 Pa 2.07



Ranking the structures above by stability puts #b first and #a last.